[1]
Material: Cu3Pt
Method: DFT, PBE
State: relaxed

Values from the calculation:
DFT formation energy: -0.138 eV/f.u.
V: 53.2 Å³/f.u.
Total magnetic moment: 0.000 μB/atom
Calculated total energy: -36.9 eV per cell

abc: 4.7371 4.7371 4.7371
angles: 90.00 90.00 90.00
With the nearest neighbours (Å) after each atom.
Atoms (fractional coordinates):
Cu1 0.0000 0.2500 0.5000  2 Cu 2.37, 4 Pt 2.65
Cu2 0.0000 0.7500 0.5000  2 Cu 2.37, 4 Pt 2.65
Cu3 0.2500 0.5000 0.0000  2 Cu 2.37, 4 Pt 2.65
Cu4 0.5000 0.0000 0.2500  2 Cu 2.37, 4 Pt 2.65
Cu5 0.5000 0.0000 0.7500  2 Cu 2.37, 4 Pt 2.65
Cu6 0.7500 0.5000 0.0000  2 Cu 2.37, 4 Pt 2.65
Pt1 0.0000 0.0000 0.0000  12 Cu 2.65
Pt2 0.5000 0.5000 0.5000  12 Cu 2.65

[2]
Material: Ba2TcTe
Method: DFT, PBE
State: relaxed

Values from the calculation:
Raw formation energy: 0.0337 eV per atom
Energy relative to the lowest polymorph listed for this composition: 0.62 eV/f.u.
V: 144.9 Å³/f.u.
Total magnetic moment: 0.764 μB/atom
Calculated total energy: -17.2 eV per cell

abc: 4.2169 4.2129 8.1682
angles: 90.00 92.71 90.00
With the nearest neighbours (Å) after each atom.
Atoms (fractional coordinates):
Ba1 0.0211 0.0000 0.2488  4 Tc 3.51-3.73, 4 Te 3.60-3.61
Ba2 0.9789 0.0000 0.7512  4 Tc 3.51-3.73, 4 Te 3.60-3.61
Tc1 0.5000 0.5000 0.5000  8 Ba 3.51-3.73
Te1 0.5000 0.5000 0.0000  8 Ba 3.60-3.61

[3]
Material: Ac4Tb2Sm3
Method: DFT, PBE
State: relaxed

Values from the calculation:
DFT formation energy: 0.451 eV/f.u.
V: 342.9 Å³/f.u.
Total magnetic moment: 0.000 μB/atom
Calculated total energy: -39.4 eV per cell

abc: 6.4492 6.4492 11.3088
angles: 105.10 105.10 49.55
With the nearest neighbours (Å) after each atom.
Atoms (fractional coordinates):
Ac1 0.0035 0.0035 0.3322  6 Sm 3.72-3.80, 3 Tb 3.72-3.73, 3 Ac 3.82-3.83
Ac2 0.3340 0.3340 0.1111  4 Sm 3.75-3.81, 4 Tb 3.76-3.82, 4 Ac 3.83
Ac3 0.6660 0.6660 0.8889  4 Sm 3.75-3.81, 4 Tb 3.76-3.82, 4 Ac 3.83
Ac4 0.9965 0.9965 0.6678  6 Sm 3.72-3.80, 3 Tb 3.72-3.73, 3 Ac 3.82-3.83
Tb1 0.3283 0.3283 0.7720  5 Sm 3.68-3.88, 7 Ac 3.72-3.82
Tb2 0.6717 0.6717 0.2280  5 Sm 3.68-3.88, 7 Ac 3.72-3.82
Sm1 0.0000 0.0000 0.0000  8 Ac 3.75, 4 Tb 3.88
Sm2 0.3342 0.3342 0.4485  3 Tb 3.68-3.80, 6 Ac 3.72-3.81, 3 Sm 3.72
Sm3 0.6658 0.6658 0.5515  3 Tb 3.68-3.80, 6 Ac 3.72-3.81, 3 Sm 3.72

[4]
Material: TcSbHSeF
Method: DFT, PBE
State: relaxed

Values from the calculation:
Energy relative to the lowest polymorph listed for this composition: 1.13 eV/f.u.
V: 82.2 Å³/f.u.
Total magnetic moment: 0.000 μB/atom
Calculated total energy: -24.7 eV per cell

abc: 3.4207 4.5661 6.0505
angles: 70.59 75.39 68.89
With the nearest neighbours (Å) after each atom.
Atoms (fractional coordinates):
Tc1 0.0000 0.0000 0.0000  1 F 2.25, 2 Se 2.42
Sb1 0.9377 0.7968 0.4493  1 H 1.81
H1 0.4652 0.5646 0.5185  1 Sb 1.81
Se1 0.7023 0.6174 0.9595  3 Tc 2.42-2.58
F1 0.0952 0.1391 0.6011  1 Tc 2.25, 1 Sb 2.32, 1 H 2.36

[5]
Material: PmDy3Sc
Method: DFT, PBE
State: relaxed

Values from the calculation:
DFT formation energy: 0.202 eV/f.u.
Energy relative to the lowest polymorph listed for this composition: 0.04 eV/f.u.
V: 152.4 Å³/f.u.
Total magnetic moment: 0.000 μB/atom
Calculated total energy: -24.7 eV per cell

abc: 14.3559 14.3559 14.3559
angles: 14.08 14.08 14.08
With the nearest neighbours (Å) after each atom.
Atoms (fractional coordinates):
Pm1 0.0000 0.0000 0.0000  6 Pm 3.52, 6 Dy 3.57-3.61
Dy1 0.1964 0.1964 0.1964  3 Sc 3.38, 9 Dy 3.52-3.54
Dy2 0.4032 0.4032 0.4032  3 Sc 3.37, 6 Dy 3.52, 3 Pm 3.61
Dy3 0.5977 0.5977 0.5977  9 Dy 3.52-3.54, 3 Pm 3.57
Sc1 0.7997 0.7997 0.7997  6 Dy 3.37-3.38, 6 Sc 3.52

[6]
Material: Rb2MgS2
Method: DFT, PBE
State: relaxed

Values from the calculation:
Raw formation energy: -0.9926 eV per atom
V: 270.2 Å³/f.u.
Total magnetic moment: 0.000 μB/atom
Calculated total energy: -16.7 eV per cell

abc: 8.3097 8.3097 8.3097
angles: 136.32 136.32 63.49
With the nearest neighbours (Å) after each atom.
Atoms (fractional coordinates):
Rb1 0.2500 0.7500 0.5000  4 S 3.34
Rb2 0.7500 0.2500 0.5000  4 S 3.34
Mg1 0.0000 0.0000 0.0000  2 S 2.26
S1 0.1601 0.1601 0.0000  1 Mg 2.26
S2 0.8399 0.8399 0.0000  1 Mg 2.26

[7]
Material: HgRhW2
Method: DFT, PBE
State: relaxed

Values from the calculation:
DFT formation energy: 2.223 eV/f.u.
V: 66.8 Å³/f.u.
Total magnetic moment: 0.000 μB/atom
Calculated total energy: -31.3 eV per cell

abc: 4.5541 4.5541 4.5541
angles: 60.00 60.00 60.00
With the nearest neighbours (Å) after each atom.
Atoms (fractional coordinates):
Hg1 0.0000 0.0000 0.0000  4 W 2.79, 4 Rh 2.79
Rh1 0.2500 0.2500 0.2500  4 Hg 2.79, 4 W 2.79
W1 0.5000 0.5000 0.5000  4 W 2.79, 4 Rh 2.79
W2 0.7500 0.7500 0.7500  4 Hg 2.79, 4 W 2.79

[8]
Material: CeGa3Rh3
Method: DFT, PBE
State: relaxed

Values from the calculation:
DFT formation energy: -1.671 eV/f.u.
Energy relative to the lowest polymorph listed for this composition: 2.63 eV/f.u.
V: 152.0 Å³/f.u.
Total magnetic moment: 0.174 μB/atom
Calculated total energy: -77.5 eV per cell

abc: 6.7238 6.7238 6.7238
angles: 90.00 90.00 90.00
With the nearest neighbours (Å) after each atom.
Atoms (fractional coordinates):
Ce1 0.0000 0.0000 0.0000  12 Rh 3.76, 12 Ga 3.76
Ce2 0.5000 0.5000 0.5000  12 Rh 3.76, 12 Ga 3.76
Ga1 0.0000 0.2500 0.5000  4 Rh 2.38
Ga2 0.0000 0.7500 0.5000  4 Rh 2.38
Ga3 0.2500 0.5000 0.0000  4 Rh 2.38
Ga4 0.5000 0.0000 0.2500  4 Rh 2.38
Ga5 0.5000 0.0000 0.7500  4 Rh 2.38
Ga6 0.7500 0.5000 0.0000  4 Rh 2.38
Rh1 0.0000 0.5000 0.2500  4 Ga 2.38
Rh2 0.0000 0.5000 0.7500  4 Ga 2.38
Rh3 0.2500 0.0000 0.5000  4 Ga 2.38
Rh4 0.5000 0.2500 0.0000  4 Ga 2.38
Rh5 0.5000 0.7500 0.0000  4 Ga 2.38
Rh6 0.7500 0.0000 0.5000  4 Ga 2.38

[9]
Material: MgSbOs2
Method: DFT, PBE
State: relaxed

Values from the calculation:
Raw formation energy: 0.6149 eV per atom
V: 66.9 Å³/f.u.
Total magnetic moment: 0.000 μB/atom
Calculated total energy: -25.7 eV per cell

abc: 3.2621 4.2692 4.8045
angles: 90.00 90.00 90.00
With the nearest neighbours (Å) after each atom.
Atoms (fractional coordinates):
Mg1 0.0000 0.0000 0.0000  4 Os 2.69, 4 Sb 2.90
Sb1 0.5000 0.0000 0.5000  4 Os 2.69, 4 Mg 2.90
Os1 0.0000 0.5000 0.5000  4 Sb 2.69, 4 Os 2.90
Os2 0.5000 0.5000 0.0000  4 Mg 2.69, 4 Os 2.90

[10]
Material: Y2ThSc2
Method: DFT, PBE
State: relaxed

Values from the calculation:
DFT formation energy: 0.126 eV/f.u.
Energy relative to the lowest polymorph listed for this composition: 0.00 eV/f.u.
V: 145.0 Å³/f.u.
Total magnetic moment: 0.000 μB/atom
Calculated total energy: -32.9 eV per cell

abc: 13.9106 13.9106 13.9106
angles: 14.40 14.40 14.40
With the nearest neighbours (Å) after each atom.
Atoms (fractional coordinates):
Y1 0.1304 0.1304 0.1304  3 Sc 3.40, 9 Y 3.49-3.61
Y2 0.8696 0.8696 0.8696  3 Sc 3.40, 9 Y 3.49-3.61
Th1 0.0000 0.0000 0.0000  6 Sc 3.32, 6 Th 3.49
Sc1 0.3974 0.3974 0.3974  3 Th 3.32, 3 Y 3.40, 6 Sc 3.49
Sc2 0.6026 0.6026 0.6026  3 Th 3.32, 3 Y 3.40, 6 Sc 3.49

[11]
Material: InRu2Rh
Method: DFT, PBE
State: relaxed

Values from the calculation:
DFT formation energy: 0.415 eV/f.u.
V: 62.1 Å³/f.u.
Total magnetic moment: 0.000 μB/atom
Calculated total energy: -28.2 eV per cell

abc: 4.7964 4.7964 4.8446
angles: 99.97 99.97 34.49
With the nearest neighbours (Å) after each atom.
Atoms (fractional coordinates):
In1 0.0000 0.0000 0.0000  3 Rh 2.69-2.79, 7 Ru 2.78-2.92, 2 In 2.84
Ru1 0.4981 0.4981 0.4923  5 Ru 2.63-2.84, 4 In 2.78-2.84, 3 Rh 2.79-2.87
Ru2 0.7589 0.7589 0.3026  5 Ru 2.63-2.84, 4 Rh 2.68-2.95, 3 In 2.86-2.92
Rh1 0.2449 0.2449 0.7655  7 Ru 2.68-2.95, 3 In 2.69-2.79, 2 Rh 2.84

[12]
Material: Ti6VTe2
Method: DFT, PBE
State: relaxed

Values from the calculation:
Raw formation energy: -0.2893 eV per atom
V: 161.8 Å³/f.u.
Total magnetic moment: 0.000 μB/atom
Calculated total energy: -65.4 eV per cell

abc: 7.3173 7.3173 3.4886
angles: 90.00 90.00 120.00
With the nearest neighbours (Å) after each atom.
Atoms (fractional coordinates):
Ti1 0.0000 0.2428 0.0000  2 V 2.49
Ti2 0.0000 0.6099 0.5000  1 V 2.85, 4 Te 2.86, 4 Ti 3.05
Ti3 0.2428 0.0000 0.0000  2 V 2.49
Ti4 0.3901 0.3901 0.5000  1 V 2.85, 4 Te 2.86, 4 Ti 3.05
Ti5 0.6099 0.0000 0.5000  1 V 2.85, 4 Te 2.86, 4 Ti 3.05
Ti6 0.7572 0.7572 0.0000  2 V 2.49
V1 0.0000 0.0000 0.5000  6 Ti 2.49
Te1 0.3333 0.6667 0.0000  9 Ti 2.83-2.86
Te2 0.6667 0.3333 0.0000  9 Ti 2.83-2.86

[13]
Material: Ca2Si3NiPt4
Method: DFT, PBE
State: relaxed

Values from the calculation:
Raw formation energy: -0.8586 eV per atom
V: 175.8 Å³/f.u.
Total magnetic moment: 0.000 μB/atom
Calculated total energy: -58.8 eV per cell

abc: 4.1716 4.1716 10.0999
angles: 90.00 90.00 90.00
With the nearest neighbours (Å) after each atom.
Atoms (fractional coordinates):
Ca1 0.0000 0.5000 0.2411  8 Pt 3.14-3.34, 2 Ni 3.21, 6 Si 3.21-3.22
Ca2 0.5000 0.0000 0.7589  8 Pt 3.14-3.34, 2 Ni 3.21, 6 Si 3.21-3.22
Si1 0.0000 0.0000 0.0000  4 Pt 2.49
Si2 0.0000 0.5000 0.6321  5 Pt 2.35-2.48
Si3 0.5000 0.0000 0.3679  5 Pt 2.35-2.48
Ni1 0.5000 0.5000 0.0000  4 Pt 2.49
Pt1 0.0000 0.0000 0.5000  4 Si 2.48
Pt2 0.0000 0.5000 0.8651  3 Si 2.35-2.49, 2 Ni 2.49
Pt3 0.5000 0.0000 0.1349  3 Si 2.35-2.49, 2 Ni 2.49
Pt4 0.5000 0.5000 0.5000  4 Si 2.48

[14]
Material: CdHgRh2
Method: DFT, PBE
State: relaxed

Values from the calculation:
DFT formation energy: 0.721 eV/f.u.
V: 69.1 Å³/f.u.
Total magnetic moment: 0.000 μB/atom
Calculated total energy: -15.2 eV per cell

abc: 5.4578 5.4578 5.4578
angles: 147.51 126.90 63.65
With the nearest neighbours (Å) after each atom.
Atoms (fractional coordinates):
Cd1 0.0000 0.0000 0.0000  4 Rh 2.77, 4 Hg 2.88, 2 Cd 3.05
Hg1 0.5000 0.5000 0.0000  4 Rh 2.78, 4 Cd 2.88, 2 Hg 3.05
Rh1 0.2495 0.7495 0.5000  2 Cd 2.77, 2 Hg 2.78, 6 Rh 2.88-3.05
Rh2 0.7505 0.2505 0.5000  2 Cd 2.77, 2 Hg 2.78, 6 Rh 2.88-3.05

[15]
Material: B5C
Method: DFT, PBE
State: relaxed

Values from the calculation:
DFT formation energy: 2.753 eV/f.u.
Energy relative to the lowest polymorph listed for this composition: 1.57 eV/f.u.
V: 44.5 Å³/f.u.
Total magnetic moment: 0.000 μB/atom
Calculated total energy: -79.7 eV per cell

abc: 5.7225 2.7531 5.7477
angles: 90.00 100.33 90.00
With the nearest neighbours (Å) after each atom.
Atoms (fractional coordinates):
B1 0.1140 0.0000 0.1562  2 B 1.67-1.73
B2 0.1168 0.5000 0.9330  2 B 1.66-1.73
B3 0.2638 0.0000 0.4345  2 C 1.59, 1 B 1.67
B4 0.3655 0.0000 0.0283  4 B 1.63-1.82
B5 0.3812 0.5000 0.8258  1 C 1.61, 1 B 1.73
B6 0.6188 0.5000 0.1742  1 C 1.61, 1 B 1.73
B7 0.6345 0.0000 0.9717  4 B 1.63-1.82
B8 0.7362 0.0000 0.5655  2 C 1.59, 1 B 1.67
B9 0.8832 0.5000 0.0670  2 B 1.66-1.73
B10 0.8860 0.0000 0.8438  2 B 1.67-1.73
C1 0.3696 0.5000 0.5444  3 B 1.59-1.61, 1 C 1.66
C2 0.6304 0.5000 0.4556  3 B 1.59-1.61, 1 C 1.66

[16]
Material: BaLi2GaAg
Method: DFT, PBE
State: relaxed

Values from the calculation:
DFT formation energy: -0.717 eV/f.u.
Energy relative to the lowest polymorph listed for this composition: 0.00 eV/f.u.
V: 131.8 Å³/f.u.
Total magnetic moment: 0.000 μB/atom
Calculated total energy: -12.3 eV per cell

abc: 5.0990 5.0990 5.0687
angles: 90.00 90.00 90.00
With the nearest neighbours (Å) after each atom.
Atoms (fractional coordinates):
Ba1 0.0000 0.0000 0.0000  8 Li 3.59, 4 Ag 3.61
Li1 0.0000 0.5000 0.5000  2 Ga 2.55
Li2 0.5000 0.0000 0.5000  2 Ga 2.55
Ga1 0.5000 0.5000 0.5000  2 Ag 2.53, 4 Li 2.55
Ag1 0.5000 0.5000 0.0000  2 Ga 2.53

[17]
Material: SrPrCdGa
Method: DFT, PBE
State: relaxed

Values from the calculation:
DFT formation energy: -1.456 eV/f.u.
V: 117.4 Å³/f.u.
Total magnetic moment: 0.000 μB/atom
Calculated total energy: -11.9 eV per cell

abc: 5.4965 5.4965 5.4965
angles: 60.00 60.00 60.00
With the nearest neighbours (Å) after each atom.
Atoms (fractional coordinates):
Sr1 0.0000 0.0000 0.0000  4 Cd 3.37, 4 Ga 3.37
Pr1 0.5000 0.5000 0.5000  4 Cd 3.37, 4 Ga 3.37
Cd1 0.7500 0.7500 0.7500  4 Pr 3.37, 4 Sr 3.37
Ga1 0.2500 0.2500 0.2500  4 Pr 3.37, 4 Sr 3.37

[18]
Material: MnMo2Au
Method: DFT, PBE
State: relaxed

Values from the calculation:
DFT formation energy: 0.735 eV/f.u.
Energy relative to the lowest polymorph listed for this composition: 0.07 eV/f.u.
V: 61.5 Å³/f.u.
Total magnetic moment: 0.559 μB/atom
Calculated total energy: -33.4 eV per cell

abc: 3.7953 3.8332 4.2301
angles: 90.00 90.00 90.00
With the nearest neighbours (Å) after each atom.
Atoms (fractional coordinates):
Mn1 0.0000 0.0000 0.0000  4 Au 2.70, 8 Mo 2.84-2.85
Mo1 0.0000 0.5000 0.5000  4 Mo 2.70, 4 Au 2.84, 4 Mn 2.85
Mo2 0.5000 0.0000 0.5000  4 Mo 2.70, 4 Mn 2.84, 4 Au 2.85
Au1 0.5000 0.5000 0.0000  4 Mn 2.70, 8 Mo 2.84-2.85

[19]
Material: HfTi2Ni3
Method: DFT, PBE
State: relaxed

Values from the calculation:
DFT formation energy: -1.499 eV/f.u.
V: 91.0 Å³/f.u.
Total magnetic moment: 0.000 μB/atom
Calculated total energy: -89.2 eV per cell

abc: 9.0162 9.0162 5.0843
angles: 90.00 90.00 153.86
With the nearest neighbours (Å) after each atom.
Atoms (fractional coordinates):
Hf1 0.1901 0.8099 0.7500  6 Ni 2.54-2.65
Hf2 0.8099 0.1901 0.2500  6 Ni 2.54-2.65
Ti1 0.3673 0.6327 0.7500  6 Ni 2.49-2.61
Ti2 0.4690 0.5310 0.2500  4 Ni 2.55, 2 Ti 2.77
Ti3 0.5310 0.4690 0.7500  4 Ni 2.55, 2 Ti 2.77
Ti4 0.6327 0.3673 0.2500  6 Ni 2.49-2.61
Ni1 0.0685 0.9315 0.0204  2 Ni 2.33-2.42, 1 Hf 2.54, 4 Ti 2.55-2.61
Ni2 0.0685 0.9315 0.4796  2 Ni 2.33-2.42, 1 Hf 2.54, 4 Ti 2.55-2.61
Ni3 0.2137 0.7863 0.2500  2 Ti 2.49, 4 Hf 2.58-2.65
Ni4 0.7863 0.2137 0.7500  2 Ti 2.49, 4 Hf 2.58-2.65
Ni5 0.9315 0.0685 0.5204  2 Ni 2.33-2.42, 1 Hf 2.54, 4 Ti 2.55-2.61
Ni6 0.9315 0.0685 0.9796  2 Ni 2.33-2.42, 1 Hf 2.54, 4 Ti 2.55-2.61

[20]
Material: Hg2GeRu4
Method: DFT, PBE
State: relaxed

Values from the calculation:
DFT formation energy: 7.749 eV/f.u.
V: 141.4 Å³/f.u.
Total magnetic moment: 0.787 μB/atom
Calculated total energy: -34.6 eV per cell

abc: 7.6145 7.6145 7.6145
angles: 145.44 145.44 49.68
With the nearest neighbours (Å) after each atom.
Atoms (fractional coordinates):
Hg1 0.1327 0.1327 0.0000  5 Ru 2.72-2.91
Hg2 0.8673 0.8673 0.0000  5 Ru 2.72-2.91
Ge1 0.5000 0.5000 0.0000  6 Ru 2.26-2.36
Ru1 0.0000 0.5000 0.5000  2 Ge 2.26
Ru2 0.3295 0.3295 0.0000  1 Ge 2.36
Ru3 0.5000 0.0000 0.5000  2 Ge 2.26
Ru4 0.6705 0.6705 0.0000  1 Ge 2.36